# 1
DFT (PBE) results for an optimized crystal structure of Ta2NbCdPb.

Results
As for the density of states at the Fermi level: 6.29 states/eV/f.u. The value obtained for the formation energy is 6.9 eV per formula unit.

Cell lengths 4.940, 4.940, 5.440 Å; angles 90.00, 90.00, 90.00 degrees
Space group P4/mmm (No. 123)
Asymmetric unit:
1 Ta 0.000 0.500 0.000 [2 per cell]
2 Nb 0.000 0.000 0.000 [1 per cell]
3 Cd 0.500 0.500 0.500 [1 per cell]
4 Pb 0.000 0.000 0.500 [1 per cell]

# 2
DFT (PBE) results for an optimized crystal structure of Ta2NbCdPb.

Results
As for the density of states at the Fermi level: 6.55 states/eV/f.u. The value obtained for the formation energy is 11.0 eV per formula unit.

Cell lengths 5.160, 5.160, 4.986 Å; angles 90.00, 90.00, 90.00 degrees
Space group P4/mmm (No. 123)
Asymmetric unit:
1 Ta 0.000 0.500 0.000 [2 per cell]
2 Nb 0.000 0.000 0.500 [1 per cell]
3 Cd 0.500 0.500 0.500 [1 per cell]
4 Pb 0.500 0.500 0.000 [1 per cell]

# 3
DFT (PBE) results for an optimized crystal structure of NbCdTe2Pb.

Results
As for the density of states at the Fermi level: 3.57 states/eV/f.u. The calculation puts the formation energy from raw total energies at 0.9580 eV/atom.

Cell lengths 5.620, 5.620, 5.301 Å; angles 90.00, 90.00, 90.00 degrees
Space group P4/mmm (No. 123)
Asymmetric unit:
1 Nb 0.000 0.000 0.000 [1 per cell]
2 Cd 0.000 0.000 0.500 [1 per cell]
3 Te 0.000 0.500 0.500 [2 per cell]
4 Pb 0.500 0.500 0.000 [1 per cell]

# 4
DFT (PBE) results for an optimized crystal structure of TiNbCdPb2.

Results
As for the density of states at the Fermi level: 8.05 states/eV/f.u. The value obtained for the formation energy is 7.4 eV per formula unit.

Cell lengths 5.452, 5.452, 5.346 Å; angles 90.00, 90.00, 90.00 degrees
Space group P4/mmm (No. 123)
Asymmetric unit:
1 Ti 0.000 0.000 0.000 [1 per cell]
2 Nb 0.500 0.500 0.000 [1 per cell]
3 Cd 0.500 0.500 0.500 [1 per cell]
4 Pb 0.000 0.500 0.500 [2 per cell]

# 5
DFT (PBE) results for an optimized crystal structure of NbZn2CdPb.

Results
As for the density of states at the Fermi level: 9.74 states/eV/f.u. The value obtained for the formation energy is 6.7 eV per formula unit.

Cell lengths 5.078, 5.078, 5.770 Å; angles 90.00, 90.00, 90.00 degrees
Space group P4/mmm (No. 123)
Asymmetric unit:
1 Nb 0.000 0.000 0.000 [1 per cell]
2 Zn 0.000 0.500 0.500 [2 per cell]
3 Cd 0.500 0.500 0.000 [1 per cell]
4 Pb 0.500 0.500 0.500 [1 per cell]

# 6
DFT (PBE) results for an optimized crystal structure of Nb2CdPd9.

Results
As for the density of states at the Fermi level: 4.05 states/eV/f.u. The value obtained for the formation energy is -4.8 eV per formula unit.

Cell lengths 3.983, 3.983, 12.039 Å; angles 90.00, 90.00, 90.00 degrees
Space group P4/mmm (No. 123)
Asymmetric unit:
1 Nb 0.000 0.000 0.172 [2 per cell]
2 Cd 0.000 0.000 0.500 [1 per cell]
3 Pd 0.000 0.500 0.000 [2 per cell]
4 Pd 0.000 0.500 0.324 [4 per cell]
5 Pd 0.500 0.500 0.161 [2 per cell]
6 Pd 0.500 0.500 0.500 [1 per cell]

# 7
DFT (PBE) results for an optimized crystal structure of NbCdPd2.

Results
As for the density of states at the Fermi level: 2.56 states/eV/f.u. The value obtained for the formation energy is -0.8 eV per formula unit.

Cell lengths 4.881, 4.881, 2.890 Å; angles 90.00, 90.00, 90.00 degrees
Space group P4/mmm (No. 123)
Asymmetric unit:
1 Nb 0.000 0.000 0.000 [1 per cell]
2 Cd 0.500 0.500 0.000 [1 per cell]
3 Pd 0.000 0.500 0.500 [2 per cell]

# 8
DFT (PBE) results for an optimized crystal structure of NbCdPd2.

Results
As for the density of states at the Fermi level: 3.86 states/eV/f.u. The value obtained for the formation energy is -0.9 eV per formula unit.

Cell lengths 2.9287, 2.9287, 27.8093 Å; angles 90.00, 90.00, 120.00 degrees
Space group R-3m (No. 166, hexagonal axes)
Asymmetric unit:
1 Nb 0.0000 0.0000 0.0000 [3 per cell]
2 Cd 0.0000 0.0000 0.5000 [3 per cell]
3 Pd 0.0000 0.0000 0.2526 [6 per cell]

no.,total energy (eV/cell)
1,-31.492
2,-27.416
3,-16.187
4,-18.944
5,-10.502
6,-72.569
7,-22.149
8,-66.684